Record 1
Entry from the Alexandria database: a relaxed Pm2Y3ErSe6 crystal (PBE).

Lattice parameters (Å, degrees): 17.9278 4.0980 8.2775 90.00 103.25 90.00
Space group C2/m (No. 12)
Inequivalent atoms, fractional coordinates:
Pm  0.1690  0.0000  0.3366 (multiplicity 4)
Y  0.0000  0.5000  0.5000 (multiplicity 2)
Y  0.1708  0.0000  0.8331 (multiplicity 4)
Er  0.0000  0.5000  0.0000 (multiplicity 2)
Se  0.0030  0.0000  0.7555 (multiplicity 4)
Se  0.1634  0.5000  0.0747 (multiplicity 4)
Se  0.1631  0.5000  0.5886 (multiplicity 4)

calculated total energy	-151.4	eV per cell
formation energy (no corrections)	-1777	meV per atom
M_tot	0.0	μB/cell
calculated density	6.7	g cm⁻³

***

Record 2
Entry from the Alexandria database: a relaxed ScH3S crystal (PBE).

Lattice parameters (Å, degrees): 3.6095 3.6095 3.6095 90.00 90.00 90.00
Space group Pm-3m (No. 221)
Inequivalent atoms, fractional coordinates:
Sc  0.0000  0.0000  0.0000 (multiplicity 1)
H  0.0000  0.5000  0.5000 (multiplicity 3)
S  0.5000  0.5000  0.5000 (multiplicity 1)

calculated total energy	-18.2	eV per cell
M_tot	0.0	μB/cell
calculated density	2.8	g cm⁻³